Below is a relaxed structure of TaPtW2, with properties calculated at the PBE level.

```
TaPtW2
1.0
-1.138 -2.424 -0.592
3.633 -1.353 -1.446
1.388 -1.949 5.312
Pt Ta W
1 1 2
Cartesian
1.594 -2.376 0.309 Pt
2.288 -3.351 2.965 Ta
0.010 -0.014 0.037 W
0.684 -0.961 2.619 W
```

Computed properties:
DFT formation energy	0.049	eV per atom
N(E_F)	3.0	states/eV per cell
raw total energy	-10.90	eV per atom

---

Below is a relaxed structure of TaPtW2, with properties calculated at the PBE level.

```
TaPtW2
1.0
4.675 0.000 0.000
0.000 2.743 -0.014
0.000 0.741 5.139
Pt Ta W
1 1 2
Cartesian
2.338 0.871 1.281 Pt
2.338 2.613 3.843 Ta
0.000 0.750 5.104 W
0.000 1.734 2.597 W
```

Computed properties:
DFT formation energy	-0.018	eV per atom
N(E_F)	3.7	states/eV per cell
raw total energy	-10.97	eV per atom

---

Below is a relaxed structure of Ta2PtW, with properties calculated at the PBE level.

```
Ta2PtW
1.0
-1.543 2.321 -4.484
3.085 -4.224 -0.719
-1.941 -1.821 -0.779
Pt Ta W
1 2 1
Cartesian
0.572 -3.023 -0.749 Pt
0.000 0.000 0.000 Ta
0.771 -0.952 -2.602 Ta
-1.742 0.250 -2.632 W
```

Computed properties:
DFT formation energy	-0.171	eV per atom
N(E_F)	2.9	states/eV per cell
raw total energy	-10.85	eV per atom

---

Below is a relaxed structure of TaPt2W, with properties calculated at the PBE level.

```
TaPt2W
1.0
-2.881 -3.826 -1.375
2.623 -4.189 -0.633
-0.276 3.351 3.678
Pt Ta W
2 1 1
Cartesian
0.000 0.000 0.000 Pt
-0.129 -4.007 -1.004 Pt
-1.643 -2.241 0.649 Ta
1.109 -2.423 1.020 W
```

Computed properties:
DFT formation energy	-0.440	eV per atom
N(E_F)	2.5	states/eV per cell
raw total energy	-9.66	eV per atom

---

Below is a relaxed structure of Ta2PtW, with properties calculated at the PBE level.

```
Ta2PtW
1.0
-2.545 9.169 -2.694
-4.546 8.755 -0.705
-1.960 9.693 0.047
Pt Ta W
1 2 1
Cartesian
-6.796 20.734 -2.516 Pt
-0.039 0.118 -0.014 Ta
-2.250 6.866 -0.833 Ta
-4.492 13.706 -1.663 W
```

Computed properties:
DFT formation energy	0.046	eV per atom
N(E_F)	4.8	states/eV per cell
raw total energy	-10.63	eV per atom

---

Below is a relaxed structure of TaPt2W, with properties calculated at the PBE level.

```
TaPt2W
1.0
-2.817 2.356 -3.249
-4.687 -1.220 0.767
3.482 1.610 3.054
Pt Ta W
2 1 1
Cartesian
-7.503 1.136 -2.482 Pt
-1.543 2.267 -0.718 Pt
-3.752 0.568 -1.241 Ta
-2.478 0.479 1.290 W
```

Computed properties:
DFT formation energy	-0.266	eV per atom
N(E_F)	5.1	states/eV per cell
raw total energy	-9.49	eV per atom

---

Below is a relaxed structure of TaPtW2, with properties calculated at the PBE level.

```
TaPtW2
1.0
-4.511 2.006 -1.058
-1.306 -0.725 -4.823
1.426 -2.831 3.930
Pt Ta W
1 1 2
Cartesian
-2.916 0.642 -2.948 Pt
-1.356 -1.467 -1.879 Ta
-5.790 1.275 -5.854 W
-3.054 -0.080 -0.092 W
```

Computed properties:
DFT formation energy	-0.080	eV per atom
N(E_F)	2.8	states/eV per cell
raw total energy	-11.03	eV per atom

---

Below is a relaxed structure of TaPtW4, with properties calculated at the PBE level.

```
TaPtW4
1.0
-0.989 -1.455 4.950
1.822 2.880 3.998
-3.325 2.803 2.947
Ta Pt W
1 1 4
Cartesian
0.000 0.000 0.000 Ta
-1.869 3.171 8.922 Pt
-1.431 0.848 6.943 W
-2.608 2.994 5.934 W
-0.014 3.032 6.464 W
-0.932 1.581 4.449 W
```

Computed properties:
DFT formation energy	0.235	eV per atom
N(E_F)	6.5	states/eV per cell
raw total energy	-11.38	eV per atom